Record 1
Density functional theory data (GGA-PBE) for a relaxed structure of MnBe3Au. Values from VASP.

```
&SYSTEM
  ibrav = 0, nat = 5, ntyp = 3
/
ATOMIC_SPECIES
Mn 54.94 Mn.upf
Be 9.01 Be.upf
Au 196.97 Au.upf
CELL_PARAMETERS angstrom
4.017 0.000 0.000
0.000 4.017 0.000
0.000 0.000 4.017
ATOMIC_POSITIONS angstrom
Mn 0.000 0.000 0.000
Be 0.000 0.000 2.008
Be 0.000 2.008 0.000
Be 2.008 0.000 0.000
Au 2.008 2.008 2.008
```

Calculated values
Its energy above the most stable polymorph in this dataset is 20.5 kJ/mol of atoms. For the formation energy, the calculation gives 0.92 eV per atom. Its magnetization is 1.78 μB/f.u. The calculation puts the final energy at -3.809 eV per atom. The calculation puts the theoretical density at 7.1 g/cm3.

---

Record 2
Density functional theory data (GGA-PBE) for a relaxed structure of MgRuCl. Values from VASP.

```
&SYSTEM
  ibrav = 0, nat = 3, ntyp = 3
/
ATOMIC_SPECIES
Mg 24.30 Mg.upf
Ru 101.07 Ru.upf
Cl 35.45 Cl.upf
CELL_PARAMETERS angstrom
0.000 2.472 6.254
1.715 0.000 6.254
1.715 2.472 0.000
ATOMIC_POSITIONS angstrom
Mg 0.000 0.000 0.000
Ru 1.715 2.472 4.216
Cl 1.715 2.472 8.048
```

Calculated values
Its energy above the most stable polymorph in this dataset is 9.1 kJ/mol of atoms. Its magnetization is 1.74 μB/f.u. The calculation puts the final energy at -4.153 eV per atom. The calculation puts the theoretical density at 5.0 g/cm3.

---

Record 3
Density functional theory data (GGA-PBE) for a relaxed structure of WSe2. Values from VASP.

```
&SYSTEM
  ibrav = 0, nat = 6, ntyp = 2
/
ATOMIC_SPECIES
W 183.84 W.upf
Se 78.96 Se.upf
CELL_PARAMETERS angstrom
3.322 0.000 0.000
-1.661 2.877 0.000
0.000 0.000 14.227
ATOMIC_POSITIONS angstrom
W 0.000 1.918 3.535
W 1.661 0.959 10.692
Se 0.000 1.918 9.010
Se 0.000 1.918 12.374
Se 1.661 0.959 1.853
Se 1.661 0.959 5.217
```

Calculated values
Its magnetization is 0.00 μB/f.u. The calculation puts the final energy at -7.204 eV per atom. The calculation puts the theoretical density at 8.3 g/cm3.